Entry 1:
Material: Li2Ag2Sb
Method: DFT, PBE-GGA
State: optimized geometry

abc: 7.271 7.271 3.429
angles: 90.00 90.00 90.00
Atoms (fractional coordinates):
Li 0.142 0.358 0.000
Li 0.358 0.858 0.000
Li 0.642 0.142 0.000
Li 0.858 0.642 0.000
Ag 0.144 0.644 0.500
Ag 0.356 0.144 0.500
Ag 0.644 0.856 0.500
Ag 0.856 0.356 0.500
Sb 0.000 0.000 0.000
Sb 0.500 0.500 0.000

Output
E_form (uncorrected): -0.8 eV/f.u.
Total moment: 0.000 μB/atom
Calculated total energy: -2.892 eV/atom



Entry 2:
Material: LiAg3Sb
Method: DFT, PBE-GGA
State: optimized geometry

abc: 4.761 6.004 7.183
angles: 90.00 109.10 90.00
Atoms (fractional coordinates):
Li 0.114 0.250 0.230
Li 0.886 0.750 0.770
Ag 0.313 0.510 0.627
Ag 0.313 0.990 0.627
Ag 0.500 0.250 0.001
Ag 0.500 0.750 0.999
Ag 0.687 0.010 0.373
Ag 0.687 0.490 0.373
Sb 0.124 0.750 0.249
Sb 0.876 0.250 0.751

Output
E_form (uncorrected): -0.6 eV/f.u.
Total moment: 0.000 μB/atom
Calculated total energy: -3.041 eV/atom



Entry 3:
Material: LiScAgSb
Method: DFT, PBE-GGA
State: optimized geometry

abc: 4.846 4.846 4.846
angles: 60.00 60.00 60.00
Atoms (fractional coordinates):
Li 0.000 0.000 0.000
Sc 0.500 0.500 0.500
Ag 0.250 0.250 0.250
Sb 0.750 0.750 0.750

Output
E_form (uncorrected): -2.0 eV/f.u.
Total moment: 0.000 μB/atom
Calculated total energy: -4.295 eV/atom



Entry 4:
Material: LiAgSbSe3
Method: DFT, PBE-GGA
State: optimized geometry

abc: 6.907 4.007 10.553
angles: 90.00 101.35 90.00
Atoms (fractional coordinates):
Li 0.131 0.250 0.169
Li 0.869 0.750 0.831
Ag 0.137 0.750 0.554
Ag 0.863 0.250 0.446
Sb 0.372 0.250 0.838
Sb 0.628 0.750 0.162
Se 0.011 0.750 0.298
Se 0.240 0.750 0.002
Se 0.499 0.250 0.308
Se 0.501 0.750 0.692
Se 0.760 0.250 0.998
Se 0.989 0.250 0.702

Output
E_form (uncorrected): -2.4 eV/f.u.
Total moment: 0.000 μB/atom
Calculated total energy: -3.624 eV/atom



Entry 5:
Material: LiAg4Sb3Se8
Method: DFT, PBE-GGA
State: optimized geometry

abc: 8.014 8.014 8.035
angles: 119.69 119.69 60.37
Atoms (fractional coordinates):
Li 0.000 0.000 0.000
Ag 0.000 0.000 0.500
Ag 0.000 0.500 0.000
Ag 0.500 0.000 0.000
Ag 0.500 0.500 0.500
Sb 0.000 0.500 0.500
Sb 0.500 0.000 0.500
Sb 0.500 0.500 0.000
Se 0.244 0.754 0.245
Se 0.246 0.756 0.755
Se 0.247 0.247 0.752
Se 0.251 0.251 0.249
Se 0.749 0.749 0.751
Se 0.753 0.753 0.248
Se 0.754 0.244 0.245
Se 0.756 0.246 0.755

Output
E_form (uncorrected): -4.0 eV/f.u.
Total moment: 0.000 μB/atom
Calculated total energy: -3.596 eV/atom



Entry 6:
Material: LiAgSb2Se
Method: DFT, PBE-GGA
State: optimized geometry

abc: 5.338 5.338 4.742
angles: 90.00 90.00 90.00
Atoms (fractional coordinates):
Li 0.000 0.000 0.000
Ag 0.000 0.000 0.500
Sb 0.000 0.500 0.500
Sb 0.500 0.000 0.500
Se 0.500 0.500 0.000

Output
E_form (uncorrected): 1.7 eV/f.u.
Total moment: 0.000 μB/atom
Calculated total energy: -2.966 eV/atom



Entry 7:
Material: LiAg3Sb3Se8
Method: DFT, PBE-GGA
State: optimized geometry

abc: 7.985 7.985 7.985
angles: 59.55 59.55 59.55
Atoms (fractional coordinates):
Li 0.000 0.000 0.000
Ag 0.000 0.000 0.500
Ag 0.000 0.500 0.000
Ag 0.500 0.000 0.000
Sb 0.000 0.500 0.500
Sb 0.500 0.000 0.500
Sb 0.500 0.500 0.000
Se 0.244 0.244 0.756
Se 0.244 0.756 0.244
Se 0.244 0.756 0.756
Se 0.248 0.248 0.248
Se 0.752 0.752 0.752
Se 0.756 0.244 0.244
Se 0.756 0.244 0.756
Se 0.756 0.756 0.244

Output
E_form (uncorrected): -3.3 eV/f.u.
Total moment: 0.000 μB/atom
Calculated total energy: -3.599 eV/atom



Entry 8:
Material: Li2SmAg2Sb2
Method: DFT, PBE-GGA
State: optimized geometry

abc: 8.684 8.684 8.684
angles: 30.65 30.65 30.65
Atoms (fractional coordinates):
Li 0.144 0.144 0.144
Li 0.856 0.856 0.856
Sm 0.000 0.000 0.000
Ag 0.442 0.442 0.442
Ag 0.558 0.558 0.558
Sb 0.260 0.260 0.260
Sb 0.740 0.740 0.740

Output
E_form (uncorrected): -4.0 eV/f.u.
Total moment: 0.000 μB/atom
Calculated total energy: -3.782 eV/atom